Entry 1:
# LiLaEuCo | Alexandria | PBE-GGA | relaxed
# E_form = 2.55 kcal/mol of atoms
# Volume = 93.1 Å³ per cell
# Crystal system = cubic
# N(E_F) = 3.4 states/eV per cell
data_LiLaEuCo
_chemical_formula_sum 'Li1 La1 Eu1 Co1'
_space_group_name_H-M_alt 'P 1'
_space_group_IT_number 1
_space_group_name_Hall 'P 1'
_cell_length_a 5.088
_cell_length_b 5.088
_cell_length_c 5.088
_cell_angle_alpha 60.00
_cell_angle_beta 60.00
_cell_angle_gamma 60.00
loop_
_atom_site_label
_atom_site_type_symbol
_atom_site_fract_x
_atom_site_fract_y
_atom_site_fract_z
_atom_site_occupancy
Li1 Li 0.750 0.750 0.750 1
Co1 Co 0.250 0.250 0.250 1
La1 La 0.000 0.000 0.000 1
Eu1 Eu 0.500 0.500 0.500 1

---

Entry 2:
# VCdRe2Ru | Alexandria | PBE-GGA | relaxed
# E_form = 46.76 kcal/mol of atoms
# Volume = 105.1 Å³ per cell
# Crystal system = tetragonal
# N(E_F) = 9.4 states/eV per cell
data_VCdRe2Ru
_chemical_formula_sum 'V1 Cd1 Re2 Ru1'
_space_group_name_H-M_alt 'P 1'
_space_group_IT_number 1
_space_group_name_Hall 'P 1'
_cell_length_a 4.641
_cell_length_b 4.882
_cell_length_c 4.641
_cell_angle_alpha 90.00
_cell_angle_beta 90.00
_cell_angle_gamma 90.00
loop_
_atom_site_label
_atom_site_type_symbol
_atom_site_fract_x
_atom_site_fract_y
_atom_site_fract_z
_atom_site_occupancy
V1 V 0.500 0.500 0.500 1
Cd1 Cd 0.000 0.500 0.000 1
Re1 Re 0.500 0.000 0.000 1
Re2 Re 0.000 0.000 0.500 1
Ru1 Ru 0.000 0.000 0.000 1

---

Entry 3:
# NdCuSb | Alexandria | PBE-GGA | relaxed
# Volume = 71.5 Å³ per cell
# Energy relative to the elements, uncorrected = -0.740 eV/atom
# Crystal system = hexagonal
# N(E_F) = 1.8 states/eV per cell
data_NdCuSb
_chemical_formula_sum 'Nd1 Cu1 Sb1'
_space_group_name_H-M_alt 'P 1'
_space_group_IT_number 1
_space_group_name_Hall 'P 1'
_cell_length_a 4.279
_cell_length_b 4.393
_cell_length_c 4.393
_cell_angle_alpha 120.00
_cell_angle_beta 90.00
_cell_angle_gamma 90.00
loop_
_atom_site_label
_atom_site_type_symbol
_atom_site_fract_x
_atom_site_fract_y
_atom_site_fract_z
_atom_site_occupancy
Cu1 Cu 0.167 0.000 0.000 1
Sb1 Sb 0.166 0.333 0.667 1
Nd1 Nd 0.666 0.667 0.333 1

---

Entry 4:
# K2CuPdI6 | Alexandria | PBE-GGA | relaxed
# Volume = 363.6 Å³ per cell
# Energy relative to the elements, uncorrected = -0.642 eV/atom
# Crystal system = triclinic
# N(E_F) = 3.4 states/eV per cell
data_K2CuPdI6
_chemical_formula_sum 'K2 Cu1 Pd1 I6'
_space_group_name_H-M_alt 'P 1'
_space_group_IT_number 1
_space_group_name_Hall 'P 1'
_cell_length_a 8.126
_cell_length_b 8.139
_cell_length_c 8.303
_cell_angle_alpha 55.84
_cell_angle_beta 55.65
_cell_angle_gamma 81.44
loop_
_atom_site_label
_atom_site_type_symbol
_atom_site_fract_x
_atom_site_fract_y
_atom_site_fract_z
_atom_site_occupancy
Pd1 Pd 0.500 0.500 0.000 1
I1 I 0.281 0.178 0.540 1
I2 I 0.719 0.822 0.460 1
I3 I 0.280 0.282 0.000 1
I4 I 0.720 0.718 0.000 1
I5 I 0.812 0.307 0.880 1
I6 I 0.188 0.693 0.120 1
Cu1 Cu 0.000 0.000 0.000 1
K1 K 0.750 0.250 0.500 1
K2 K 0.250 0.750 0.500 1

---

Entry 5:
# SrInAg2I | Alexandria | PBE-GGA | relaxed
# Volume = 229.9 Å³ per cell
# Energy relative to the elements, uncorrected = 0.171 eV/atom
# Crystal system = tetragonal
# N(E_F) = 0.1 states/eV per cell
data_SrInAg2I
_chemical_formula_sum 'Sr1 In1 Ag2 I1'
_space_group_name_H-M_alt 'P 1'
_space_group_IT_number 1
_space_group_name_Hall 'P 1'
_cell_length_a 6.066
_cell_length_b 6.248
_cell_length_c 6.066
_cell_angle_alpha 90.00
_cell_angle_beta 90.00
_cell_angle_gamma 90.00
loop_
_atom_site_label
_atom_site_type_symbol
_atom_site_fract_x
_atom_site_fract_y
_atom_site_fract_z
_atom_site_occupancy
Sr1 Sr 0.000 0.000 0.000 1
In1 In 0.500 0.500 0.500 1
Ag1 Ag 0.000 0.000 0.500 1
Ag2 Ag 0.500 0.000 0.000 1
I1 I 0.000 0.500 0.000 1

---

Entry 6:
# Er2ScTe4 | Alexandria | PBE-GGA | relaxed
# Excess energy over the best structure of this formula in the dataset = 95 meV/atom
# Volume = 431.1 Å³ per cell
# Energy relative to the elements, uncorrected = -1.224 eV/atom
# Crystal system = orthorhombic
# N(E_F) = 6.8 states/eV per cell
data_Er2ScTe4
_chemical_formula_sum 'Er4 Sc2 Te8'
_space_group_name_H-M_alt 'P 1'
_space_group_IT_number 1
_space_group_name_Hall 'P 1'
_cell_length_a 4.132
_cell_length_b 7.383
_cell_length_c 14.719
_cell_angle_alpha 90.00
_cell_angle_beta 90.00
_cell_angle_gamma 106.25
loop_
_atom_site_label
_atom_site_type_symbol
_atom_site_fract_x
_atom_site_fract_y
_atom_site_fract_z
_atom_site_occupancy
Er1 Er 0.868 0.737 0.927 1
Er2 Er 0.868 0.737 0.573 1
Er3 Er 0.132 0.263 0.073 1
Er4 Er 0.132 0.263 0.427 1
Te1 Te 0.980 0.959 0.750 1
Te2 Te 0.218 0.437 0.623 1
Te3 Te 0.782 0.563 0.377 1
Te4 Te 0.020 0.041 0.250 1
Te5 Te 0.218 0.437 0.877 1
Te6 Te 0.782 0.563 0.123 1
Te7 Te 0.500 0.000 0.000 1
Te8 Te 0.500 0.000 0.500 1
Sc1 Sc 0.633 0.266 0.750 1
Sc2 Sc 0.367 0.734 0.250 1

---

Entry 7:
# SrSmTlAg | Alexandria | PBE-GGA | relaxed
# E_form = -6.75 kcal/mol of atoms
# Excess energy over the best structure of this formula in the dataset = 38 meV/atom
# Volume = 117.5 Å³ per cell
# Crystal system = cubic
# N(E_F) = 4.4 states/eV per cell
data_SrSmTlAg
_chemical_formula_sum 'Sr1 Sm1 Tl1 Ag1'
_space_group_name_H-M_alt 'P 1'
_space_group_IT_number 1
_space_group_name_Hall 'P 1'
_cell_length_a 5.497
_cell_length_b 5.497
_cell_length_c 5.497
_cell_angle_alpha 60.00
_cell_angle_beta 60.00
_cell_angle_gamma 60.00
loop_
_atom_site_label
_atom_site_type_symbol
_atom_site_fract_x
_atom_site_fract_y
_atom_site_fract_z
_atom_site_occupancy
Sr1 Sr 0.500 0.500 0.500 1
Tl1 Tl 0.750 0.750 0.750 1
Sm1 Sm 0.000 0.000 0.000 1
Ag1 Ag 0.250 0.250 0.250 1